(1)
VASP calculation (PBE-GGA) on crystalline Si6Cl10O7 at its relaxed geometry.

Output
Energy relative to the elements, uncorrected (meV/atom): -1944
D(E_F) (states/eV per atom): 0.000

Cell: 6.6510 21.7405 8.8518 Å, 90.00 99.50 90.00°
Space group P2_1/m (No. 11)
Symmetry-distinct sites (fractional):
Si: 0.0188 0.1188 0.0489
Si: 0.1177 0.1198 0.7068
Si: 0.2122 0.2500 0.1038
Si: 0.3200 0.2500 0.7711
Cl: 0.1326 0.6080 0.4557
Cl: 0.2021 0.0613 0.1910
Cl: 0.2773 0.6005 0.9393
Cl: 0.3367 0.0589 0.6709
Cl: 0.3899 0.7500 0.2731
Cl: 0.4238 0.2500 0.2959
O: 0.0584 0.1076 0.8747
O: 0.0661 0.1898 0.0996
O: 0.2002 0.1897 0.6940
O: 0.3287 0.2500 0.9555

(2)
VASP calculation (PBE-GGA) on crystalline Si2ClO at its relaxed geometry.

Output
Distance to the lowest polymorph of the same formula (kJ/mol of formula units): 294.5
Energy relative to the elements, uncorrected (meV/atom): 505
D(E_F) (states/eV per atom): 0.337

Cell: 6.1919 6.1919 6.1919 Å, 90.00 90.00 90.00°
Space group Fm-3m (No. 225)
Symmetry-distinct sites (fractional):
Si: 0.2500 0.2500 0.2500
Cl: 0.0000 0.0000 0.0000
O: 0.0000 0.0000 0.5000

(3)
VASP calculation (PBE-GGA) on crystalline Si3ClO at its relaxed geometry.

Output
Distance to the lowest polymorph of the same formula (kJ/mol of formula units): 0.0
Energy relative to the elements, uncorrected (meV/atom): 593
D(E_F) (states/eV per atom): 0.635

Cell: 4.4550 4.4550 4.4550 Å, 90.00 90.00 90.00°
Space group Pm-3m (No. 221)
Symmetry-distinct sites (fractional):
Si: 0.0000 0.0000 0.5000
Cl: 0.5000 0.5000 0.5000
O: 0.0000 0.0000 0.0000

(4)
VASP calculation (PBE-GGA) on crystalline SiCl3O at its relaxed geometry.

Output
Distance to the lowest polymorph of the same formula (kJ/mol of formula units): 0.0
Energy relative to the elements, uncorrected (meV/atom): 161
D(E_F) (states/eV per atom): 1.327

Cell: 4.6986 4.6986 4.6986 Å, 90.00 90.00 90.00°
Space group Pm-3m (No. 221)
Symmetry-distinct sites (fractional):
Si: 0.0000 0.0000 0.0000
Cl: 0.0000 0.0000 0.5000
O: 0.5000 0.5000 0.5000

(5)
VASP calculation (PBE-GGA) on crystalline Si3ClO at its relaxed geometry.

Output
Distance to the lowest polymorph of the same formula (kJ/mol of formula units): 510.5
Energy relative to the elements, uncorrected (meV/atom): 1651
D(E_F) (states/eV per atom): 1.487

Cell: 4.7676 4.7676 4.7676 Å, 90.00 90.00 90.00°
Space group Pm-3m (No. 221)
Symmetry-distinct sites (fractional):
Si: 0.0000 0.0000 0.5000
Cl: 0.0000 0.0000 0.0000
O: 0.5000 0.5000 0.5000

(6)
VASP calculation (PBE-GGA) on crystalline SiCl3O at its relaxed geometry.

Output
Distance to the lowest polymorph of the same formula (kJ/mol of formula units): 229.8
Energy relative to the elements, uncorrected (meV/atom): 637
D(E_F) (states/eV per atom): 0.403

Cell: 4.5159 4.5159 4.5159 Å, 90.00 90.00 90.00°
Space group Pm-3m (No. 221)
Symmetry-distinct sites (fractional):
Si: 0.0000 0.0000 0.0000
Cl: 0.0000 0.5000 0.5000
O: 0.5000 0.5000 0.5000

(7)
VASP calculation (PBE-GGA) on crystalline Si2Cl2O3 at its relaxed geometry.

Output
Energy relative to the elements, uncorrected (meV/atom): -2221
D(E_F) (states/eV per atom): 0.000

Cell: 13.0673 13.0673 13.3651 Å, 90.00 90.00 120.00°
Space group R-3 (No. 148, hexagonal axes)
Symmetry-distinct sites (fractional):
Si: 0.0000 0.0000 0.2026
Si: 0.0252 0.2066 0.0674
Cl: 0.0000 0.0000 0.3537
Cl: 0.0168 0.7115 0.5492
O: 0.0240 0.1279 0.1625
O: 0.0991 0.5677 0.6602

(8)
VASP calculation (PBE-GGA) on crystalline Sr2SiCl2O3 at its relaxed geometry.

Output
Energy relative to the elements, uncorrected (meV/atom): -2821
D(E_F) (states/eV per atom): 0.000

Cell: 11.3002 11.3002 9.6626 Å, 90.00 90.00 90.00°
Space group I4/m (No. 87)
Symmetry-distinct sites (fractional):
Sr: 0.0815 0.7487 0.2300
Si: 0.0968 0.1817 0.5000
Cl: 0.0000 0.0000 0.2013
Cl: 0.0000 0.5000 0.2500
Cl: 0.0958 0.2551 0.0000
O: 0.0500 0.8358 0.5000
O: 0.1296 0.2446 0.3542